The following is a PBE-GGA calculation of NpSCl3 after structural relaxation, from Alexandria.

Computed properties:
V = 35.06 Å³ per atom
ΔE_f (raw) = -1.30 eV per atom
N(E_F) = 9.092 states/eV per cell
Total energy = -58.2 eV for the cell shown

Cell and atoms, written as extended XYZ:
```
10
Lattice="7.699 -0.043 0.720 -2.148 7.394 -0.720 -2.502 -3.882 6.208" Properties=species:S:1:pos:R:3 pbc="T T T"
Np 1.575 4.582 1.415
Np 1.474 -1.113 4.793
S 1.349 4.752 3.939
S 1.699 -1.283 2.270
Cl 5.237 -0.851 2.108
Cl 0.104 2.590 1.388
Cl 2.945 0.879 4.820
Cl 3.731 2.953 1.273
Cl -2.188 4.320 4.100
Cl -0.683 0.516 4.935
```